No. 1
PuZrS2 | PBE | optimized geometry

POSCAR file:
```
PuZrS2
1.0
3.8110 0.0000 0.0000
1.9055 3.3004 0.0000
1.9055 1.1001 6.1929
S Pu Zr
2 1 1
direct
0.2538 0.2538 0.2387
0.7462 0.7462 0.7613
0.5000 0.5000 0.5000
0.0000 0.0000 0.0000
```

symmetry: R-3m
energy above the lowest structure with this stoichiometry: 0.0 meV per atom

---

No. 2
PuZrS2 | PBE | optimized geometry

POSCAR file:
```
PuZrS2
1.0
3.6681 0.0000 0.0000
1.8341 3.1767 0.0000
1.8341 1.0589 6.8625
S Pu Zr
2 1 1
direct
0.2442 0.2442 0.2673
0.0883 0.0883 0.7351
0.6711 0.6711 0.9866
0.4964 0.4964 0.5109
```

symmetry: R3m
energy above the lowest structure with this stoichiometry: 66.7 meV per atom

---

Result set for density: 8.5, 8.3 g cm⁻³, one per record in the order listed.
Result set for raw formation energy: -1.64, -1.57 eV per atom, one per record in the order listed.